# 1
The following is a PBE calculation of a relaxed Zr2SnP crystal, from Alexandria via LeMat-Bulk.

## Properties
Total magnetic moment in Bohr magnetons per cell: 0.0
Energy of formation from the pure elements in meV/atom: -401
Total DFT energy (no corrections) in eV/atom: -7.03

Geometry as POSCAR:
```
Zr2SnP
1.0
6.8679 0.0000 0.0000
0.0000 6.8679 0.0000
0.0000 0.0000 6.8679
Zr Sn P
8 4 4
direct
0.2500 0.2500 0.2500
0.2500 0.2500 0.7500
0.2500 0.7500 0.2500
0.2500 0.7500 0.7500
0.7500 0.2500 0.2500
0.7500 0.2500 0.7500
0.7500 0.7500 0.2500
0.7500 0.7500 0.7500
0.0000 0.0000 0.0000
0.0000 0.5000 0.5000
0.5000 0.0000 0.5000
0.5000 0.5000 0.0000
0.0000 0.0000 0.5000
0.0000 0.5000 0.0000
0.5000 0.0000 0.0000
0.5000 0.5000 0.5000
```

***

# 2
The following is a PBE calculation of a relaxed HgMoIr2 crystal, from Alexandria via LeMat-Bulk.

## Properties
Total magnetic moment in Bohr magnetons per cell: 0.0
Energy of formation from the pure elements in meV/atom: 256
Total DFT energy (no corrections) in eV/atom: -6.96

Geometry as POSCAR:
```
HgMoIr2
1.0
4.0441 0.0000 0.0000
0.0000 4.0441 0.0000
0.0000 0.0000 7.8428
Hg Mo Ir
2 2 4
direct
0.0000 0.0000 0.0000
0.5000 0.5000 0.5000
0.0000 0.0000 0.5000
0.5000 0.5000 0.0000
0.0000 0.5000 0.2500
0.0000 0.5000 0.7500
0.5000 0.0000 0.2500
0.5000 0.0000 0.7500
```

***

# 3
The following is a PBE calculation of a relaxed InGa2GePb crystal, from Alexandria via LeMat-Bulk.

## Properties
Total magnetic moment in Bohr magnetons per cell: 0.0
Energy of formation from the pure elements in meV/atom: 703
Total DFT energy (no corrections) in eV/atom: -2.72

Geometry as POSCAR:
```
InGa2GePb
1.0
5.1894 0.0000 0.0000
0.0000 5.1894 0.0000
0.0000 0.0000 5.8053
In Ga Ge Pb
1 2 1 1
direct
0.0000 0.0000 0.0000
0.0000 0.5000 0.0000
0.5000 0.0000 0.0000
0.5000 0.5000 0.5000
0.0000 0.0000 0.5000
```